Compound: TaZnRu2
Source: the Alexandria database
Functional: PBE
Structure: optimized geometry

Calculated volume, Å³ per atom: 15.0
Formation energy from the elements, eV/atom: -0.089
DOS(E_F), states/eV/atom: 0.883

a = 3.997 Å, b = 2.828 Å, c = 5.988 Å
α = 62.20°, β = 90.00°, γ = 90.00°
Positions (direct):
Ru (0.000, 0.019, 0.984)
Ru (0.500, 0.251, 0.255)
Ta (0.000, 0.497, 0.495)
Zn (0.500, 0.733, 0.766)

Compound: TaZnRu2
Source: the Alexandria database
Functional: PBE
Structure: optimized geometry

Calculated volume, Å³ per atom: 15.3
Formation energy from the elements, eV/atom: 0.096
DOS(E_F), states/eV/atom: 0.742

a = 9.175 Å, b = 9.175 Å, c = 9.175 Å
α = 17.52°, β = 17.52°, γ = 17.52°
Positions (direct):
Ru (0.998, 0.998, 0.998)
Ru (0.255, 0.255, 0.255)
Ta (0.502, 0.502, 0.502)
Zn (0.745, 0.745, 0.745)

Compound: Ta5ZnRu6
Source: the Alexandria database
Functional: PBE
Structure: optimized geometry

Calculated volume, Å³ per atom: 15.6
Formation energy from the elements, eV/atom: -0.378
DOS(E_F), states/eV/atom: 0.602

a = 4.370 Å, b = 6.549 Å, c = 6.907 Å
α = 90.00°, β = 108.43°, γ = 90.00°
Positions (direct):
Ru (0.832, 0.758, 0.664)
Ru (0.832, 0.242, 0.664)
Ru (0.500, 0.248, 0.000)
Ru (0.500, 0.752, 0.000)
Ru (0.168, 0.758, 0.336)
Ru (0.168, 0.242, 0.336)
Zn (0.000, 0.000, 0.000)
Ta (0.667, 0.500, 0.334)
Ta (0.339, 0.000, 0.679)
Ta (0.000, 0.500, 0.000)
Ta (0.661, 0.000, 0.321)
Ta (0.333, 0.500, 0.666)

Total DFT energy (no corrections) values (in eV/atom) by entry order: -8.009; -7.824; -10.061.